Record 1
Material: HfTaBe2
Method: DFT, PBE
State: relaxed

POSCAR file:
```
HfTaBe2
1.0
3.159 0.000 0.000
0.000 3.159 0.000
0.000 0.000 5.742
Hf Ta Be
1 1 2
Direct
0.000 0.000 0.000
0.000 0.000 0.500
0.500 0.500 0.276
0.500 0.500 0.724
```

Properties
The value obtained for the formation energy from the elements is 0.006 eV per atom.

---

Record 2
Material: Ca4AsP2
Method: DFT, PBE
State: relaxed

POSCAR file:
```
Ca4AsP2
1.0
-4.416 4.416 4.385
4.416 -4.416 4.385
4.416 4.416 -4.385
Ca As P
8 2 4
Direct
0.119 0.511 0.748
0.121 0.012 0.752
0.261 0.369 0.248
0.489 0.238 0.608
0.629 0.881 0.392
0.631 0.879 0.892
0.762 0.371 0.252
0.988 0.739 0.108
0.250 0.750 0.500
0.500 0.500 0.000
0.002 0.125 0.377
0.375 0.998 0.123
0.748 0.625 0.623
0.875 0.252 0.877
```

Properties
The value obtained for the formation energy from the elements is -1.091 eV per atom.

---

Record 3
Material: KLa2AlIr
Method: DFT, PBE
State: relaxed

POSCAR file:
```
KLa2AlIr
1.0
5.692 0.000 0.000
0.000 5.692 0.000
0.000 0.000 5.017
K La Al Ir
1 2 1 1
Direct
0.000 0.000 0.000
0.000 0.500 0.500
0.500 0.000 0.500
0.500 0.500 0.000
0.500 0.500 0.500
```

Properties
The value obtained for the formation energy from the elements is -0.248 eV per atom.

---

Record 4
Material: Ac15LaY4
Method: DFT, PBE
State: relaxed

POSCAR file:
```
Ac15LaY4
1.0
5.519 0.000 0.000
0.000 5.519 0.000
0.000 0.000 27.478
Ac La Y
15 1 4
Direct
0.000 0.000 0.000
0.000 0.000 0.201
0.000 0.000 0.400
0.000 0.000 0.600
0.000 0.000 0.799
0.000 0.500 0.102
0.000 0.500 0.301
0.000 0.500 0.500
0.000 0.500 0.699
0.000 0.500 0.898
0.500 0.000 0.102
0.500 0.000 0.301
0.500 0.000 0.500
0.500 0.000 0.699
0.500 0.000 0.898
0.500 0.500 0.000
0.500 0.500 0.201
0.500 0.500 0.400
0.500 0.500 0.600
0.500 0.500 0.799
```

Properties
The value obtained for the formation energy from the elements is 0.026 eV per atom.

---

Record 5
Material: Ba2In6SnPd
Method: DFT, PBE
State: relaxed

POSCAR file:
```
Ba2In6SnPd
1.0
3.629 2.095 13.546
-3.629 2.095 13.546
0.000 -4.191 13.546
Ba In Sn Pd
4 12 2 2
Direct
0.105 0.105 0.105
0.277 0.277 0.277
0.723 0.723 0.723
0.895 0.895 0.895
0.080 0.667 0.667
0.221 0.221 0.642
0.221 0.642 0.221
0.333 0.333 0.920
0.333 0.920 0.333
0.358 0.779 0.779
0.642 0.221 0.221
0.667 0.080 0.667
0.667 0.667 0.080
0.779 0.358 0.779
0.779 0.779 0.358
0.920 0.333 0.333
0.425 0.425 0.425
0.575 0.575 0.575
0.000 0.000 0.000
0.500 0.500 0.500
```

Properties
The value obtained for the formation energy from the elements is -0.332 eV per atom.

---

Record 6
Material: LiAgI2O8
Method: DFT, PBE
State: relaxed

POSCAR file:
```
LiAgI2O8
1.0
-3.735 3.735 3.403
3.735 -3.735 3.403
3.735 3.735 -3.403
Li Ag I O
1 1 2 8
Direct
0.000 0.000 0.000
0.250 0.750 0.500
0.500 0.500 0.000
0.750 0.250 0.500
0.335 0.144 0.809
0.335 0.526 0.191
0.399 0.092 0.307
0.474 0.665 0.809
0.784 0.092 0.693
0.856 0.665 0.191
0.908 0.216 0.307
0.908 0.601 0.693
```

Properties
The uncorrected formation energy is -0.2851 eV per atom.

---

Record 7
Material: YThGaCu
Method: DFT, PBE
State: relaxed

POSCAR file:
```
YThGaCu
1.0
0.000 3.605 3.605
3.605 0.000 3.605
3.605 3.605 0.000
Y Th Ga Cu
1 1 1 1
Direct
0.000 0.000 0.000
0.500 0.500 0.500
0.250 0.250 0.250
0.750 0.750 0.750
```

Properties
The value obtained for the formation energy from the elements is -0.305 eV per atom.

---

Record 8
Material: LiSmZrIr
Method: DFT, PBE
State: relaxed

POSCAR file:
```
LiSmZrIr
1.0
0.000 3.425 3.425
3.425 0.000 3.425
3.425 3.425 0.000
Li Sm Zr Ir
1 1 1 1
Direct
0.000 0.000 0.000
0.250 0.250 0.250
0.750 0.750 0.750
0.500 0.500 0.500
```

Properties
The value obtained for the formation energy from the elements is -0.377 eV per atom.